# 1
Below is TaCuHgSb after structural relaxation, with properties calculated at the PBE level.

Its calculated volume is 319 Å³ per cell. As for the excess energy over the best structure of this formula in the dataset: 295 meV/atom.

The structure belongs to space group F-43m (No. 216); the cell edges are 6.834, 6.834 and 6.834 Å and the angles 90.00°, 90.00° and 90.00°. The inequivalent atoms are Ta at (0.000, 0.000, 0.000), Cu at (0.250, 0.250, 0.750), Hg at (0.250, 0.250, 0.250) and Sb at (0.000, 0.000, 0.500).

=====

# 2
Below is SmHfBi after structural relaxation, with properties calculated at the PBE level.

Its calculated volume is 404 Å³ per cell. Its total energy is -66.94 eV for the cell shown.

The structure belongs to space group F-43m (No. 216); the cell edges are 7.391, 7.391 and 7.391 Å and the angles 90.00°, 90.00° and 90.00°. The inequivalent atoms are Sm at (0.000, 0.000, 0.000), Hf at (0.250, 0.250, 0.250) and Bi at (0.250, 0.250, 0.750).